# BaSrPt

A PBEsol-optimized structure of BaSrPt (meta-GGA SCAN, Alexandria via LeMat-Bulk).

It has space group I4mm (No. 107), with a = 3.786 Å, b = 3.786 Å, c = 14.480 Å, α = 90.00°, β = 90.00° and γ = 90.00°. The inequivalent atoms are Ba at (0.000, 0.000, 0.000), Sr at (0.000, 0.000, 0.758) and Pt at (0.000, 0.000, 0.373).

The value obtained for the distance to the lowest polymorph of the same formula is 79 meV per atom. As for the calculated volume: 104 Å³/f.u. As for the size of the total moment: 0.000 Bohr magnetons per cell. The calculation puts the formation energy at -641 meV per atom. For the calculated total energy, the calculation gives -44.65 eV/atom.